1.
Material: YHo2Tl
Method: DFT, PBE
State: optimized geometry

```
8
Lattice="5.305 0.000 0.000 0.000 6.709 0.126 0.000 1.192 6.645" Properties=species:S:1:pos:R:3 pbc="T T T"
Ho 1.326 1.843 5.181
Ho 1.326 4.021 0.709
Ho 3.979 6.058 1.590
Ho 3.979 3.881 6.062
Y 3.979 2.730 2.863
Y 1.326 5.172 3.909
Tl 3.979 6.842 5.050
Tl 1.326 1.060 1.722
```

Total energy, Ha/atom: -0.1724
DFT formation energy, eV/atom: -0.195
Symmetry: P2_1/m (11)
Total magnetic moment, μB per formula unit: 0.0
ΔE to the lowest computed polymorph, eV per atom: 0.000

2.
Material: BaAs3
Method: DFT, PBE
State: optimized geometry

```
4
Lattice="-0.906 -1.488 5.672 2.813 -5.082 1.212 0.856 5.614 -1.720" Properties=species:S:1:pos:R:3 pbc="T T T"
As 1.810 -6.235 6.533
As 0.452 0.421 3.697
As 1.051 -3.620 3.793
Ba 2.311 -1.377 1.467
```

Total energy, Ha/atom: -0.1563
DFT formation energy, eV/atom: -0.285
Symmetry: Immm (71)
Total magnetic moment, μB per formula unit: 0.0

3.
Material: NaDy5Te8
Method: DFT, PBE
State: optimized geometry

```
14
Lattice="9.088 0.000 0.000 4.544 7.870 0.000 4.544 2.623 7.420" Properties=species:S:1:pos:R:3 pbc="T T T"
Te 13.631 5.425 6.430
Te 15.749 9.093 6.430
Te 9.088 5.247 6.299
Te 11.514 9.093 6.430
Te 6.973 4.026 2.847
Te 9.088 7.688 2.847
Te 13.631 7.870 2.971
Te 11.202 4.026 2.847
Dy 11.261 6.502 4.597
Dy 9.088 2.737 4.597
Dy 9.088 5.247 1.048
Dy 6.914 6.502 4.597
Dy 0.000 0.000 0.000
Na 4.544 2.623 1.855
```

Total energy, Ha/atom: -0.1775
Symmetry: F-43m (216)
Total magnetic moment, μB per formula unit: 0.0
Raw formation energy, eV/atom: -1.30

4.
Material: Tl2AsH
Method: DFT, PBE
State: optimized geometry

```
8
Lattice="5.455 0.000 0.000 0.000 5.455 0.000 2.727 2.727 6.808" Properties=species:S:1:pos:R:3 pbc="T T T"
Tl 3.691 1.364 1.702
Tl 6.819 6.418 5.106
Tl 4.091 4.492 5.106
Tl 1.764 4.091 1.702
H 2.727 2.727 0.000
H 2.727 5.455 3.404
As 0.000 0.000 0.000
As 5.455 2.727 3.404
```

Total energy, Ha/atom: -0.1037
Symmetry: I-42d (122)
Total magnetic moment, μB per formula unit: 0.0
ΔE to the lowest computed polymorph, eV per atom: 0.265

5.
Material: ZrOs2Se
Method: DFT, PBE
State: optimized geometry

```
4
Lattice="-0.464 2.116 1.930 -0.772 -2.647 0.903 8.190 -1.249 3.338" Properties=species:S:1:pos:R:3 pbc="T T T"
Zr 5.525 -1.202 3.920
Os 4.135 -0.630 1.685
Os 8.151 -1.243 3.322
Se 1.430 -0.578 2.251
```

Total energy, Ha/atom: -0.2984
Symmetry: Cmmm (65)
Total magnetic moment, μB per formula unit: 0.0
Raw formation energy, eV/atom: 0.50

6.
Material: Zr2Tl2NiS6
Method: DFT, PBE
State: optimized geometry

```
11
Lattice="-6.146 -0.008 -1.582 1.805 -2.110 5.706 0.774 7.807 1.408" Properties=species:S:1:pos:R:3 pbc="T T T"
S 0.824 4.541 3.078
S -4.390 1.146 2.453
S -0.860 1.930 1.495
S -1.736 5.218 0.732
S -2.707 3.758 4.037
S -1.831 0.470 4.799
Ni 0.387 3.903 0.704
Tl 0.451 -1.752 4.465
Tl -4.792 -0.366 -0.341
Zr -0.450 2.491 3.988
Zr -3.116 3.196 1.544
```

Total energy, Ha/atom: -0.2098
Symmetry: C2/m (12)
Total magnetic moment, μB per formula unit: 2.0
Raw formation energy, eV/atom: -0.95